The following is a PBE-GGA calculation of crystalline Li2TaCu at its relaxed geometry, from the Alexandria database.

- Offset from the most stable computed form: 21 kJ/mol of formula units
- Energy of formation: 0.243 eV/atom
- Total moment: 0.0 μB/f.u.
- Uncorrected energy: -4.701 eV/atom
- Density of states at the Fermi level: 2.1 states/eV/f.u.
- Space group: Pm (6)

Cell: 2.611 4.256 5.697 Å, 90.00 102.50 90.00°
Positions (direct):
Li (0.000, 0.000, 0.000)
Li (0.401, 0.500, 0.799)
Ta (0.658, 0.500, 0.329)
Cu (0.243, 0.000, 0.513)

***

The following is a PBE-GGA calculation of crystalline LiTa2Cu at its relaxed geometry, from the Alexandria database.

- Offset from the most stable computed form: 60 kJ/mol of formula units
- Energy of formation: 0.316 eV/atom
- Total moment: 0.0 μB/f.u.
- Uncorrected energy: -7.113 eV/atom
- Density of states at the Fermi level: 3.5 states/eV/f.u.
- Space group: P4mm (99)

Cell: 3.325 3.325 5.792 Å, 90.00 90.00 90.00°
Positions (direct):
Li (0.000, 0.000, 0.000)
Ta (0.000, 0.000, 0.525)
Ta (0.500, 0.500, 0.275)
Cu (0.500, 0.500, 0.784)

***

The following is a PBE-GGA calculation of crystalline LiTa2Cu at its relaxed geometry, from the Alexandria database.

- Offset from the most stable computed form: 81 kJ/mol of formula units
- Energy of formation: 0.371 eV/atom
- Total moment: 0.0 μB/f.u.
- Uncorrected energy: -7.058 eV/atom
- Density of states at the Fermi level: 3.4 states/eV/f.u.
- Space group: Pmmm (47)

Cell: 2.910 3.840 5.494 Å, 90.00 90.00 90.00°
Positions (direct):
Li (0.000, 0.000, 0.000)
Ta (0.500, 0.500, 0.254)
Ta (0.500, 0.500, 0.746)
Cu (0.000, 0.000, 0.500)

***

The following is a PBE-GGA calculation of crystalline LiTa2Cu at its relaxed geometry, from the Alexandria database.

- Offset from the most stable computed form: 98 kJ/mol of formula units
- Energy of formation: 0.413 eV/atom
- Total moment: 0.0 μB/f.u.
- Uncorrected energy: -7.016 eV/atom
- Density of states at the Fermi level: 1.7 states/eV/f.u.
- Space group: Fm-3m (225)

Cell: 6.234 6.234 6.234 Å, 90.00 90.00 90.00°
Positions (direct):
Li (0.000, 0.000, 0.000)
Li (0.000, 0.500, 0.500)
Li (0.500, 0.000, 0.500)
Li (0.500, 0.500, 0.000)
Ta (0.250, 0.250, 0.250)
Ta (0.250, 0.250, 0.750)
Ta (0.250, 0.750, 0.250)
Ta (0.250, 0.750, 0.750)
Ta (0.750, 0.250, 0.250)
Ta (0.750, 0.250, 0.750)
Ta (0.750, 0.750, 0.250)
Ta (0.750, 0.750, 0.750)
Cu (0.000, 0.000, 0.500)
Cu (0.000, 0.500, 0.000)
Cu (0.500, 0.000, 0.000)
Cu (0.500, 0.500, 0.500)

***

The following is a PBE-GGA calculation of crystalline LiTaCu at its relaxed geometry, from the Alexandria database.

- Offset from the most stable computed form: 13 kJ/mol of formula units
- Energy of formation: 0.279 eV/atom
- Total moment: 0.0 μB/f.u.
- Uncorrected energy: -5.675 eV/atom
- Density of states at the Fermi level: 1.9 states/eV/f.u.
- Space group: P-6m2 (187)

Cell: 4.347 4.347 2.625 Å, 90.00 90.00 120.00°
Positions (direct):
Li (0.000, 0.000, 0.000)
Ta (0.333, 0.667, 0.500)
Cu (0.667, 0.333, 0.000)

***

The following is a PBE-GGA calculation of crystalline Li2TaCu at its relaxed geometry, from the Alexandria database.

- Offset from the most stable computed form: 0 kJ/mol of formula units
- Energy of formation: 0.189 eV/atom
- Total moment: 0.0 μB/f.u.
- Uncorrected energy: -4.755 eV/atom
- Density of states at the Fermi level: 2.2 states/eV/f.u.
- Space group: P4mm (99)

Cell: 2.752 2.752 8.504 Å, 90.00 90.00 90.00°
Positions (direct):
Li (0.000, 0.000, 0.000)
Li (0.500, 0.500, 0.282)
Ta (0.000, 0.000, 0.566)
Cu (0.500, 0.500, 0.791)

***

The following is a PBE-GGA calculation of crystalline LiTa2Cu at its relaxed geometry, from the Alexandria database.

- Offset from the most stable computed form: 37 kJ/mol of formula units
- Energy of formation: 0.255 eV/atom
- Total moment: 0.0 μB/f.u.
- Uncorrected energy: -7.174 eV/atom
- Density of states at the Fermi level: 2.1 states/eV/f.u.
- Space group: Amm2 (38)

Cell: 4.353 2.629 10.898 Å, 90.00 90.00 90.00°
Positions (direct):
Li (0.000, 0.000, 0.000)
Li (0.000, 0.500, 0.500)
Ta (0.000, 0.000, 0.262)
Ta (0.000, 0.500, 0.762)
Ta (0.500, 0.000, 0.616)
Ta (0.500, 0.500, 0.116)
Cu (0.500, 0.000, 0.883)
Cu (0.500, 0.500, 0.383)

***

The following is a PBE-GGA calculation of crystalline LiTaCu3 at its relaxed geometry, from the Alexandria database.

- Offset from the most stable computed form: 264 kJ/mol of formula units
- Energy of formation: 1.178 eV/atom
- Total moment: 0.0 μB/f.u.
- Uncorrected energy: -4.033 eV/atom
- Density of states at the Fermi level: 3.2 states/eV/f.u.
- Space group: Pm-3m (221)

Cell: 4.852 4.852 4.852 Å, 90.00 90.00 90.00°
Positions (direct):
Li (0.000, 0.000, 0.000)
Ta (0.500, 0.500, 0.500)
Cu (0.000, 0.500, 0.500)
Cu (0.500, 0.000, 0.500)
Cu (0.500, 0.500, 0.000)

***

The following is a PBE-GGA calculation of crystalline Li2TaCu at its relaxed geometry, from the Alexandria database.

- Offset from the most stable computed form: 164 kJ/mol of formula units
- Energy of formation: 0.613 eV/atom
- Total moment: 0.0 μB/f.u.
- Uncorrected energy: -4.331 eV/atom
- Density of states at the Fermi level: 3.0 states/eV/f.u.
- Space group: P4/mmm (123)

Cell: 4.442 4.442 2.899 Å, 90.00 90.00 90.00°
Positions (direct):
Li (0.000, 0.500, 0.000)
Li (0.500, 0.000, 0.000)
Ta (0.000, 0.000, 0.500)
Cu (0.500, 0.500, 0.500)

***

The following is a PBE-GGA calculation of crystalline Li2TaCu at its relaxed geometry, from the Alexandria database.

- Offset from the most stable computed form: 30 kJ/mol of formula units
- Energy of formation: 0.267 eV/atom
- Total moment: 0.0 μB/f.u.
- Uncorrected energy: -4.677 eV/atom
- Density of states at the Fermi level: 3.1 states/eV/f.u.
- Space group: C2/m (12)

Cell: 11.151 2.588 4.780 Å, 90.00 115.20 90.00°
Positions (direct):
Li (0.220, 0.000, 0.220)
Li (0.280, 0.500, 0.780)
Li (0.720, 0.500, 0.220)
Li (0.780, 0.000, 0.780)
Ta (0.000, 0.000, 0.500)
Ta (0.500, 0.500, 0.500)
Cu (0.000, 0.500, 0.000)
Cu (0.500, 0.000, 0.000)

***

The following is a PBE-GGA calculation of crystalline LiTa2Cu at its relaxed geometry, from the Alexandria database.

- Offset from the most stable computed form: 162 kJ/mol of formula units
- Energy of formation: 0.579 eV/atom
- Total moment: 0.0 μB/f.u.
- Uncorrected energy: -6.849 eV/atom
- Density of states at the Fermi level: 5.2 states/eV/f.u.
- Space group: F-43m (216)

Cell: 6.364 6.364 6.364 Å, 90.00 90.00 90.00°
Positions (direct):
Li (0.000, 0.000, 0.000)
Li (0.000, 0.500, 0.500)
Li (0.500, 0.000, 0.500)
Li (0.500, 0.500, 0.000)
Ta (0.000, 0.000, 0.500)
Ta (0.000, 0.500, 0.000)
Ta (0.250, 0.250, 0.250)
Ta (0.250, 0.750, 0.750)
Ta (0.500, 0.000, 0.000)
Ta (0.500, 0.500, 0.500)
Ta (0.750, 0.250, 0.750)
Ta (0.750, 0.750, 0.250)
Cu (0.250, 0.250, 0.750)
Cu (0.250, 0.750, 0.250)
Cu (0.750, 0.250, 0.250)
Cu (0.750, 0.750, 0.750)

***

The following is a PBE-GGA calculation of crystalline LiTa2Cu at its relaxed geometry, from the Alexandria database.

- Offset from the most stable computed form: 53 kJ/mol of formula units
- Energy of formation: 0.298 eV/atom
- Total moment: 0.0 μB/f.u.
- Uncorrected energy: -7.131 eV/atom
- Density of states at the Fermi level: 2.4 states/eV/f.u.
- Space group: Imm2 (44)

Cell: 2.874 4.755 9.048 Å, 90.00 90.00 90.00°
Positions (direct):
Li (0.000, 0.000, 0.000)
Li (0.500, 0.500, 0.500)
Ta (0.000, 0.000, 0.539)
Ta (0.000, 0.500, 0.774)
Ta (0.500, 0.000, 0.274)
Ta (0.500, 0.500, 0.039)
Cu (0.000, 0.500, 0.290)
Cu (0.500, 0.000, 0.790)